## AgP2RhO (GGA-PBE)

Data for a geometry-optimized AgP2RhO structure.

a = 4.7693 Å, b = 4.7693 Å, c = 3.8310 Å
α = 90.00°, β = 90.00°, γ = 90.00°
Closest atoms and distances in Å follow each position.
Space group P4/mmm (No. 123)
Inequivalent atoms, fractional coordinates:
Ag  0.0000  0.0000  0.0000 (multiplicity 1)  2 O 1.92
P  0.0000  0.5000  0.0000 (multiplicity 2)  2 Ag 2.38
Rh  0.5000  0.5000  0.5000 (multiplicity 1)  8 P 3.06, 4 O 3.37
O  0.0000  0.0000  0.5000 (multiplicity 1)  2 Ag 1.92

Summary:
* uncorrected formation energy: 109 kJ/mol of atoms
* ΔE to the lowest computed polymorph: 783 meV per atom

## AgRhSe2 (GGA-PBE)

Data for a geometry-optimized AgRhSe2 structure.

a = 6.8607 Å, b = 7.8277 Å, c = 6.7985 Å
α = 90.00°, β = 120.25°, γ = 90.00°
Closest atoms and distances in Å follow each position.
Space group Cc (No. 9)
Inequivalent atoms, fractional coordinates:
Ag  0.0000  0.1253  0.0000 (multiplicity 4)  4 Se 2.66-2.72, 1 Rh 2.87
Rh  0.4176  0.1247  0.0000 (multiplicity 4)  6 Se 2.50-2.78
Se  0.1538  0.4145  0.9219 (multiplicity 4)  3 Rh 2.50-2.78, 2 Ag 2.66-2.72
Se  0.2316  0.1643  0.5782 (multiplicity 4)  3 Rh 2.50-2.78, 2 Ag 2.66-2.72

Summary:
* uncorrected formation energy: -13 kJ/mol of atoms

## Sr2BePb (GGA-PBE)

Data for a geometry-optimized Sr2BePb structure.

a = 3.9000 Å, b = 3.8572 Å, c = 8.1979 Å
α = 90.00°, β = 90.06°, γ = 90.00°
Closest atoms and distances in Å follow each position.
Space group P2/m (No. 10)
Inequivalent atoms, fractional coordinates:
Sr  0.0005  0.0000  0.2258 (multiplicity 2)  4 Be 3.31, 4 Pb 3.54-3.55, 1 Sr 3.70
Be  0.5000  0.5000  0.0000 (multiplicity 1)  8 Sr 3.31
Pb  0.5000  0.5000  0.5000 (multiplicity 1)  8 Sr 3.54-3.55, 4 Pb 3.86-3.90

Summary:
* energy relative to the elements: 0.00 eV/atom
* ΔE to the lowest computed polymorph: 87 meV per atom

## Ta2IrW (GGA-PBE)

Data for a geometry-optimized Ta2IrW structure.

a = 3.8081 Å, b = 3.8081 Å, c = 19.9513 Å
α = 90.00°, β = 90.00°, γ = 90.00°
Closest atoms and distances in Å follow each position.
Space group I-42d (No. 122)
Inequivalent atoms, fractional coordinates:
Ta  0.2474  0.2500  0.1250 (multiplicity 8)  4 Ta 2.68-2.71, 2 W 2.83, 2 Ir 2.84
Ir  0.0000  0.0000  0.5000 (multiplicity 4)  4 W 2.69, 4 Ta 2.84
W  0.0000  0.0000  0.0000 (multiplicity 4)  4 Ir 2.69, 4 Ta 2.83

Summary:
* energy relative to the elements: 0.66 eV/atom
* ΔE to the lowest computed polymorph: 984 meV per atom

## Th2TiSn (GGA-PBE)

Data for a geometry-optimized Th2TiSn structure.

a = 3.3586 Å, b = 3.3586 Å, c = 35.0262 Å
α = 90.00°, β = 90.00°, γ = 120.00°
Closest atoms and distances in Å follow each position.
Space group R-3m (No. 166, hexagonal axes)
Inequivalent atoms, fractional coordinates:
Th  0.0000  0.0000  0.0936 (multiplicity 6)  3 Ti 3.21, 1 Sn 3.28, 6 Th 3.36
Ti  0.0000  0.0000  0.5000 (multiplicity 3)  6 Th 3.21, 6 Ti 3.36
Sn  0.0000  0.0000  0.0000 (multiplicity 3)  2 Th 3.28, 6 Sn 3.36

Summary:
* energy relative to the elements: 0.30 eV/atom
* ΔE to the lowest computed polymorph: 487 meV per atom

## GaBiI4 (GGA-PBE)

Data for a geometry-optimized GaBiI4 structure.

a = 17.2928 Å, b = 4.5274 Å, c = 8.1371 Å
α = 90.00°, β = 117.38°, γ = 90.00°
Closest atoms and distances in Å follow each position.
Space group C2/m (No. 12)
Inequivalent atoms, fractional coordinates:
Ga  0.0000  0.0000  0.0000 (multiplicity 2)  6 I 3.29-3.40
Bi  0.0000  0.5000  0.5000 (multiplicity 2)  6 I 3.07-3.16
I  0.1166  0.5000  0.3070 (multiplicity 4)  1 Bi 3.07, 2 Ga 3.29
I  0.1199  0.0000  0.7656 (multiplicity 4)  2 Bi 3.16, 1 Ga 3.40

Summary:
* uncorrected formation energy: -38 kJ/mol of atoms

## HfCu3Pb (GGA-PBE)

Data for a geometry-optimized HfCu3Pb structure.

a = 4.9329 Å, b = 4.9329 Å, c = 4.9329 Å
α = 90.00°, β = 90.00°, γ = 90.00°
Closest atoms and distances in Å follow each position.
Space group Pm-3m (No. 221)
Inequivalent atoms, fractional coordinates:
Hf  0.0000  0.0000  0.0000 (multiplicity 1)  6 Cu 2.47
Cu  0.0000  0.0000  0.5000 (multiplicity 3)  2 Hf 2.47
Pb  0.5000  0.5000  0.5000 (multiplicity 1)  12 Cu 3.49

Summary:
* energy relative to the elements: 1.03 eV/atom
* ΔE to the lowest computed polymorph: 0 meV per atom

| no. | density (Mg/m³) |
| --- | --- |
| 1 | 5.50 |
| 2 | 7.77 |
| 3 | 5.27 |
| 4 | 16.94 |
| 5 | 9.18 |
| 6 | 4.62 |
| 7 | 7.97 |